1.
Material: Ac2Y
Method: DFT, GGA-PBE
State: optimized geometry

Unit cell a=10.1008 b=10.1008 c=10.1008 alpha=90.00 beta=90.00 gamma=90.00
Space group Fd-3m (No. 227, origin choice 2)
Unique sites:
Ac 0.0000 0.0000 0.0000 (multiplicity 16)
Y 0.1250 0.1250 0.6250 (multiplicity 8)

Results
magnetization	0.00	μB per formula unit
energy relative to the lowest polymorph listed for this composition	23.2	kJ per mole of atoms
ΔH_f (0 K)	360	meV per atom

=====

2.
Material: Ac6Y
Method: DFT, GGA-PBE
State: optimized geometry

Unit cell a=7.1570 b=7.1570 c=12.4738 alpha=90.00 beta=90.00 gamma=90.00
Space group P4/nbm (No. 125, origin choice 2)
Unique sites:
Ac 0.0781 0.5781 0.1372 (multiplicity 8)
Ac 0.2500 0.2500 0.3616 (multiplicity 4)
Y 0.2500 0.7500 0.5000 (multiplicity 2)

Results
magnetization	0.00	μB per formula unit
ΔH_f (0 K)	321	meV per atom

=====

3.
Material: AcY2
Method: DFT, GGA-PBE
State: optimized geometry

Unit cell a=3.7451 b=3.7451 c=15.4921 alpha=90.00 beta=90.00 gamma=90.00
Space group I4/mmm (No. 139)
Unique sites:
Ac 0.0000 0.0000 0.0000 (multiplicity 2)
Y 0.0000 0.0000 0.3277 (multiplicity 4)

Results
magnetization	0.00	μB per formula unit
energy relative to the lowest polymorph listed for this composition	0.0	kJ per mole of atoms
ΔH_f (0 K)	54	meV per atom

=====

4.
Material: Ac3Y5
Method: DFT, GGA-PBE
State: optimized geometry

Unit cell a=3.7564 b=3.7564 c=20.8737 alpha=90.00 beta=90.00 gamma=90.00
Space group P4/mmm (No. 123)
Unique sites:
Ac 0.0000 0.0000 0.0000 (multiplicity 1)
Ac 0.5000 0.5000 0.1417 (multiplicity 2)
Y 0.0000 0.0000 0.2707 (multiplicity 2)
Y 0.0000 0.0000 0.5000 (multiplicity 1)
Y 0.5000 0.5000 0.3854 (multiplicity 2)

Results
magnetization	0.00	μB per formula unit
ΔH_f (0 K)	56	meV per atom